# DyTlInAg GGA-PBE relaxed
# Crystal system: cubic
# VASP energy, eV/atom: -3.345
data_DyTlInAg
_symmetry_space_group_name_H-M 'P 1'
_symmetry_Int_Tables_number 1
_cell_length_a 5.1442
_cell_length_b 5.1442
_cell_length_c 5.1442
_cell_angle_alpha 60.00
_cell_angle_beta 60.00
_cell_angle_gamma 60.00
loop_
_symmetry_equiv_pos_as_xyz
'x,y,z'
loop_
_atom_site_label
_atom_site_type_symbol
_atom_site_fract_x
_atom_site_fract_y
_atom_site_fract_z
_atom_site_occupancy
Dy1 Dy 0.0000 0.0000 0.0000 1
Tl1 Tl 0.7500 0.7500 0.7500 1
In1 In 0.5000 0.5000 0.5000 1
Ag1 Ag 0.2500 0.2500 0.2500 1